First-principles (PBE+U) data for an optimized crystal structure of LiMnSiO4, as listed in the Alexandria database.

## Properties
- magnetization (μB per cell) = 16.00
- final energy (eV/atom) = -7.13
- space-group type = P4_322 (95)

Structure (extended XYZ):
```
28
Lattice="5.583 0.000 0.000 0.000 5.583 0.000 0.000 0.000 8.650" Properties=species:S:1:pos:R:3 pbc="T T T"
Li 0.000 1.269 0.000
Li 0.000 4.314 4.325
Li 1.269 0.000 2.163
Li 4.314 0.000 6.488
Mn 1.287 2.792 2.163
Mn 2.792 1.287 0.000
Mn 2.792 4.296 4.325
Mn 4.296 2.792 6.488
Si 1.467 1.467 5.407
Si 1.467 4.117 7.569
Si 4.117 1.467 3.244
Si 4.117 4.117 1.081
O 0.090 1.448 6.335
O 0.090 4.136 6.641
O 1.448 0.090 4.478
O 1.448 5.493 8.498
O 1.450 2.755 8.554
O 1.450 2.828 4.421
O 2.755 1.450 2.259
O 2.755 4.133 2.066
O 2.828 1.450 6.392
O 2.828 4.133 6.584
O 4.133 2.755 0.096
O 4.133 2.828 4.229
O 4.136 0.090 4.172
O 4.136 5.493 0.153
O 5.493 1.448 2.315
O 5.493 4.136 2.010
```